# 1
{"formula": "RbSr2TeW", "functional": "PBE", "state": "optimized geometry", "raw_formation_energy_mev_per_atom": 857, "spacegroup": "P4/mmm", "n_ef_per_ev_cell": 5.69, "density_kg_m3": 4414, "magmom_total_mub_per_atom": 0.609, "lattice": [[-4.5560, -3.5733, -1.2203], [1.3296, -3.3870, 4.9541], [-3.5524, 3.4081, 3.2834]], "species": ["Sr", "Sr", "Te", "Rb", "W"], "frac_coords": [[0.5000, 0.0000, 0.0000], [0.0000, 0.0000, 0.5000], [0.5000, 0.5000, 0.5000], [0.0000, 0.5000, 0.0000], [0.0000, 0.0000, 0.0000]]}



# 2
{"formula": "RbSrZrTe2", "functional": "PBE", "state": "optimized geometry", "raw_formation_energy_mev_per_atom": 638, "spacegroup": "P4/mmm", "n_ef_per_ev_cell": 3.82, "density_kg_m3": 4084, "magmom_total_mub_per_atom": 0.599, "lattice": [[-2.0169, 1.1512, 5.8715], [-4.6067, -2.3666, -1.1184], [2.3796, -5.5307, 1.9018]], "species": ["Te", "Te", "Sr", "Zr", "Rb"], "frac_coords": [[0.5000, 0.0000, 0.0000], [0.0000, 0.0000, 0.5000], [0.5000, 0.5000, 0.5000], [0.0000, 0.5000, 0.0000], [0.0000, 0.0000, 0.0000]]}



# 3
{"formula": "Rb3SrTi", "functional": "PBE", "state": "optimized geometry", "spacegroup": "Pm-3m", "n_ef_per_ev_cell": 6.67, "relative_energy_mev_per_atom": 0.0, "density_kg_m3": 1834, "magmom_total_mub_per_atom": 0.930, "lattice": [[-6.6962, 2.0226, -1.0908], [-0.5233, -4.6142, -5.3437], [-2.2376, -4.9738, 4.5138]], "species": ["Rb", "Rb", "Rb", "Sr", "Ti"], "frac_coords": [[0.0000, 0.0000, 0.5000], [0.0000, 0.5000, 0.0000], [0.5000, 0.0000, 0.0000], [0.5000, 0.5000, 0.5000], [0.0000, 0.0000, 0.0000]]}



# 4
{"formula": "RbSrTi2", "functional": "PBE", "state": "optimized geometry", "spacegroup": "I-42d", "n_ef_per_ev_cell": 21.00, "relative_energy_mev_per_atom": 11.8, "density_kg_m3": 3162, "magmom_total_mub_per_atom": 0.000, "lattice": [[-3.4423, -0.5742, -3.2411], [1.9901, -4.0986, -1.3875], [-7.5785, -8.4967, 6.0549]], "species": ["Ti", "Ti", "Ti", "Ti", "Sr", "Sr", "Rb", "Rb"], "frac_coords": [[0.3750, 0.2104, 0.7500], [0.8750, 0.0396, 0.7500], [0.7896, 0.1250, 0.2500], [0.9604, 0.6250, 0.2500], [0.7500, 0.2500, 0.5000], [0.0000, 0.0000, 0.0000], [0.2500, 0.7500, 0.5000], [0.5000, 0.5000, 0.0000]]}



# 5
{"formula": "RbSr3Ti", "functional": "PBE", "state": "optimized geometry", "spacegroup": "Pm-3m", "n_ef_per_ev_cell": 8.12, "relative_energy_mev_per_atom": 0.0, "density_kg_m3": 2334, "magmom_total_mub_per_atom": 0.681, "lattice": [[-4.5569, 4.6777, -0.5879], [-1.1797, -1.9230, -6.1564], [-4.5645, -4.1729, 2.1781]], "species": ["Sr", "Sr", "Sr", "Rb", "Ti"], "frac_coords": [[0.0000, 0.0000, 0.5000], [0.5000, 0.0000, 0.0000], [0.0000, 0.5000, 0.0000], [0.5000, 0.5000, 0.5000], [0.0000, 0.0000, 0.0000]]}



# 6
{"formula": "Rb3SrTi", "functional": "PBE", "state": "optimized geometry", "spacegroup": "Pm-3m", "n_ef_per_ev_cell": 16.12, "relative_energy_mev_per_atom": 363.4, "density_kg_m3": 1290, "magmom_total_mub_per_atom": 0.536, "lattice": [[7.9604, 0.0000, 0.0000], [0.0000, 7.9604, 0.0000], [0.0000, 0.0000, 7.9604]], "species": ["Rb", "Rb", "Rb", "Sr", "Ti"], "frac_coords": [[0.0000, 0.0000, 0.5000], [0.5000, 0.0000, 0.0000], [0.0000, 0.5000, 0.0000], [0.0000, 0.0000, 0.0000], [0.5000, 0.5000, 0.5000]]}